[1]
VASP calculation (PBE) on crystalline DyY6In3 at its relaxed geometry.

CIF file:
```
data_DyY6In3
_cell_length_a 10.6617
_cell_length_b 15.3729
_cell_length_c 7.6231
_cell_angle_alpha 90.00
_cell_angle_beta 90.00
_cell_angle_gamma 90.00
_space_group_name_H-M_alt 'C m c 21'
_space_group_IT_number 36
_space_group_name_Hall 'C 2c -2'
loop_
_atom_site_label
_atom_site_type_symbol
_atom_site_fract_x
_atom_site_fract_y
_atom_site_fract_z
Dy1 Dy 0.0000 0.2017 0.0000
Y1 Y 0.0000 0.0453 0.2947
Y2 Y 0.0000 0.2975 0.4478
Y3 Y 0.2292 0.4663 0.4767
Y4 Y 0.2343 0.3105 0.7917
In1 In 0.0000 0.4422 0.7619
In2 In 0.1444 0.1320 0.6503
```

Uncorrected energy: -5.317 eV/atom
Energy of formation: -0.157 eV per atom

---

[2]
VASP calculation (PBE) on crystalline Cs2ReH at its relaxed geometry.

CIF file:
```
data_Cs2ReH
_cell_length_a 8.5372
_cell_length_b 8.5372
_cell_length_c 8.5372
_cell_angle_alpha 90.00
_cell_angle_beta 90.00
_cell_angle_gamma 90.00
_space_group_name_H-M_alt 'F m -3 m'
_space_group_IT_number 225
_space_group_name_Hall '-F 4 2 3'
loop_
_atom_site_label
_atom_site_type_symbol
_atom_site_fract_x
_atom_site_fract_y
_atom_site_fract_z
Cs1 Cs 0.2500 0.2500 0.2500
Re1 Re 0.0000 0.0000 0.0000
H1 H 0.0000 0.0000 0.5000
```

Uncorrected energy: -2.749 eV/atom

---

[3]
VASP calculation (PBE) on crystalline BaZrIN2 at its relaxed geometry.

CIF file:
```
data_BaZrIN2
_cell_length_a 4.5087
_cell_length_b 4.5087
_cell_length_c 5.7273
_cell_angle_alpha 90.00
_cell_angle_beta 90.00
_cell_angle_gamma 90.00
_space_group_name_H-M_alt 'P 4/m m m'
_space_group_IT_number 123
_space_group_name_Hall '-P 4 2'
loop_
_atom_site_label
_atom_site_type_symbol
_atom_site_fract_x
_atom_site_fract_y
_atom_site_fract_z
Ba1 Ba 0.0000 0.0000 0.0000
Zr1 Zr 0.5000 0.5000 0.5000
I1 I 0.5000 0.5000 0.0000
N1 N 0.0000 0.5000 0.5000
```

Polymorph energy (0 for the lowest one): 0.0 meV per atom
Uncorrected energy: -6.069 eV/atom

---

[4]
VASP calculation (PBE) on crystalline K2VFe at its relaxed geometry.

CIF file:
```
data_K2VFe
_cell_length_a 8.1736
_cell_length_b 8.1736
_cell_length_c 8.1736
_cell_angle_alpha 90.00
_cell_angle_beta 90.00
_cell_angle_gamma 90.00
_space_group_name_H-M_alt 'F m -3 m'
_space_group_IT_number 225
_space_group_name_Hall '-F 4 2 3'
loop_
_atom_site_label
_atom_site_type_symbol
_atom_site_fract_x
_atom_site_fract_y
_atom_site_fract_z
K1 K 0.2500 0.2500 0.2500
V1 V 0.0000 0.0000 0.0000
Fe1 Fe 0.0000 0.0000 0.5000
```

Uncorrected energy: -3.323 eV/atom
Energy of formation: 1.621 eV per atom

---

[5]
VASP calculation (PBE) on crystalline BaLa2Cu at its relaxed geometry.

CIF file:
```
data_BaLa2Cu
_cell_length_a 12.6207
_cell_length_b 3.8192
_cell_length_c 6.8808
_cell_angle_alpha 90.00
_cell_angle_beta 120.77
_cell_angle_gamma 90.00
_space_group_name_H-M_alt 'C 1 m 1'
_space_group_IT_number 8
_space_group_name_Hall 'C -2y'
loop_
_atom_site_label
_atom_site_type_symbol
_atom_site_fract_x
_atom_site_fract_y
_atom_site_fract_z
Ba1 Ba 0.0000 0.0000 0.0000
La1 La 0.1652 0.0000 0.6374
La2 La 0.3807 0.0000 0.3945
Cu1 Cu 0.2176 0.5000 0.0049
```

Polymorph energy (0 for the lowest one): 98.2 meV per atom
Uncorrected energy: -3.854 eV/atom
Energy of formation: 0.115 eV per atom

---

[6]
VASP calculation (PBE) on crystalline MnFeSeS at its relaxed geometry.

CIF file:
```
data_MnFeSeS
_cell_length_a 3.5412
_cell_length_b 3.5412
_cell_length_c 16.7349
_cell_angle_alpha 90.00
_cell_angle_beta 90.00
_cell_angle_gamma 120.00
_space_group_name_H-M_alt 'R 3 m'
_space_group_IT_number 160
_space_group_name_Hall 'R 3 -2"'
loop_
_atom_site_label
_atom_site_type_symbol
_atom_site_fract_x
_atom_site_fract_y
_atom_site_fract_z
Mn1 Mn 0.0000 0.0000 0.0000
Fe1 Fe 0.0000 0.0000 0.4652
Se1 Se 0.0000 0.0000 0.2338
S1 S 0.0000 0.0000 0.7473
```

Uncorrected energy: -6.508 eV/atom